1.
Entry from Alexandria via LeMat-Bulk: crystalline Co2Ni5Pd4 at its relaxed geometry (PBE-GGA).

a b c (Å): 3.6891 5.8862 7.8640
angles (deg): 58.34 103.57 90.00
Closest atoms and distances in Å follow each position.
Sites, in units of the cell vectors:
Co: 0.4160 0.7161 0.8319  1 Co 2.45, 8 Ni 2.52-2.68, 3 Pd 2.56-2.59
Co: 0.5840 0.2839 0.1681  1 Co 2.45, 8 Ni 2.52-2.68, 3 Pd 2.56-2.59
Ni: 0.9550 0.3815 0.9100  4 Ni 2.43-2.69, 4 Co 2.52-2.53, 3 Pd 2.56-2.58
Ni: 0.0450 0.6185 0.0900  4 Ni 2.43-2.69, 4 Co 2.52-2.53, 3 Pd 2.56-2.58
Ni: 0.7738 0.8290 0.5475  3 Ni 2.53-2.59, 6 Pd 2.55-2.81, 3 Co 2.65-2.68
Ni: 0.5000 0.0000 0.0000  6 Pd 2.57-2.61, 2 Co 2.60, 4 Ni 2.69
Ni: 0.2262 0.1710 0.4525  3 Ni 2.53-2.59, 6 Pd 2.55-2.81, 3 Co 2.65-2.68
Pd: 0.3226 0.4633 0.6453  1 Co 2.56, 6 Ni 2.58-2.81, 5 Pd 2.73-2.74
Pd: 0.1296 0.9288 0.2592  7 Ni 2.55-2.75, 2 Co 2.59, 3 Pd 2.73-2.74
Pd: 0.6774 0.5367 0.3547  1 Co 2.56, 6 Ni 2.58-2.81, 5 Pd 2.73-2.74
Pd: 0.8704 0.0712 0.7408  7 Ni 2.55-2.75, 2 Co 2.59, 3 Pd 2.73-2.74

## Properties
As for the formation energy: 0.03 eV/atom.


2.
Entry from Alexandria via LeMat-Bulk: crystalline VPd12Au3 at its relaxed geometry (PBE-GGA).

a b c (Å): 3.9731 3.9731 15.8884
angles (deg): 90.00 90.00 90.00
Closest atoms and distances in Å follow each position.
Sites, in units of the cell vectors:
V: 0.0000 0.0000 0.0000  12 Pd 2.70-2.81
Pd: 0.5000 0.5000 0.0000  8 Pd 2.70, 4 V 2.81
Pd: 0.5000 0.5000 0.2447  4 Au 2.81, 8 Pd 2.85-2.86
Pd: 0.5000 0.5000 0.5000  4 Au 2.81, 8 Pd 2.83
Pd: 0.5000 0.5000 0.7553  4 Au 2.81, 8 Pd 2.85-2.86
Pd: 0.5000 0.0000 0.1153  2 V 2.70, 8 Pd 2.70-2.86, 2 Au 2.87
Pd: 0.5000 0.0000 0.3730  8 Pd 2.81-2.85, 4 Au 2.83-2.84
Pd: 0.5000 0.0000 0.6270  8 Pd 2.81-2.85, 4 Au 2.83-2.84
Pd: 0.5000 0.0000 0.8847  2 V 2.70, 8 Pd 2.70-2.86, 2 Au 2.87
Pd: 0.0000 0.5000 0.1153  2 V 2.70, 8 Pd 2.70-2.86, 2 Au 2.87
Pd: 0.0000 0.5000 0.3730  8 Pd 2.81-2.85, 4 Au 2.83-2.84
Pd: 0.0000 0.5000 0.6270  8 Pd 2.81-2.85, 4 Au 2.83-2.84
Pd: 0.0000 0.5000 0.8847  2 V 2.70, 8 Pd 2.70-2.86, 2 Au 2.87
Au: 0.0000 0.0000 0.2456  12 Pd 2.81-2.87
Au: 0.0000 0.0000 0.5000  12 Pd 2.81-2.83
Au: 0.0000 0.0000 0.7544  12 Pd 2.81-2.87

## Properties
As for the formation energy: -0.11 eV/atom.


3.
Entry from Alexandria via LeMat-Bulk: crystalline Y2Er9Tm3 at its relaxed geometry (PBE-GGA).

a b c (Å): 5.2601 12.6363 12.6360
angles (deg): 47.43 51.35 51.36
Closest atoms and distances in Å follow each position.
Sites, in units of the cell vectors:
Y: 0.5000 0.2412 0.7588  8 Er 3.35-3.72, 2 Tm 3.60
Y: 0.5001 0.7588 0.2411  8 Er 3.35-3.72, 2 Tm 3.60
Er: 0.9999 0.5000 0.5000  4 Er 3.44, 4 Y 3.72
Er: 0.3667 0.1074 0.6483  1 Tm 3.12, 4 Er 3.14-3.44, 2 Y 3.35
Er: 0.6334 0.8926 0.3517  1 Tm 3.12, 4 Er 3.14-3.44, 2 Y 3.35
Er: 0.3666 0.6483 0.1074  1 Tm 3.12, 4 Er 3.14-3.44, 2 Y 3.35
Er: 0.6333 0.3517 0.8927  1 Tm 3.12, 4 Er 3.14-3.44, 2 Y 3.35
Er: 0.9050 0.8515 0.5450  4 Er 3.12-3.16
Er: 0.0951 0.1484 0.4550  4 Er 3.12-3.16
Er: 0.9050 0.5450 0.8515  4 Er 3.12-3.16
Er: 0.0949 0.4550 0.1485  4 Er 3.12-3.16
Tm: 0.0000 0.0000 0.0000  4 Er 3.12
Tm: 0.9848 0.1717 0.1717  10 Er 3.55-3.77, 2 Y 3.80, 2 Tm 3.92
Tm: 0.0153 0.8282 0.8283  10 Er 3.55-3.77, 2 Y 3.80, 2 Tm 3.92

## Properties
As for the formation energy: 0.33 eV/atom.


4.
Entry from Alexandria via LeMat-Bulk: crystalline Ce7Si2Ru2 at its relaxed geometry (PBE-GGA).

a b c (Å): 6.5768 6.6161 6.6161
angles (deg): 72.54 89.99 89.99
Closest atoms and distances in Å follow each position.
Sites, in units of the cell vectors:
Ce: 0.2826 0.0001 0.5000  2 Ru 2.73, 1 Ce 2.86
Ce: 0.7174 0.4999 0.9999  2 Ru 2.73, 1 Ce 2.86
Ce: 0.7174 0.9999 0.5000  2 Ru 2.73, 1 Ce 2.86
Ce: 0.2826 0.5001 0.0001  2 Ru 2.73, 1 Ce 2.86
Ce: 0.0000 0.0000 0.0000  2 Ru 3.09
Ce: 0.7102 0.5000 0.5000  1 Ce 2.76, 2 Ru 2.95, 2 Si 3.05
Ce: 0.2898 0.5000 0.5000  1 Ce 2.76, 2 Ru 2.95, 2 Si 3.05
Si: 0.5000 0.1529 0.8471  1 Si 2.39
Si: 0.5000 0.8471 0.1529  1 Si 2.39
Ru: 0.0000 0.2893 0.2893  6 Ce 2.73-2.95
Ru: 0.0000 0.7107 0.7107  6 Ce 2.73-2.95

## Properties
For the calculated total energy, the calculation gives -73.90 eV per formula unit.


5.
Entry from Alexandria via LeMat-Bulk: crystalline NaPm3Tl3 at its relaxed geometry (PBE-GGA).

a b c (Å): 7.3383 7.3383 8.6817
angles (deg): 91.94 91.94 112.04
Closest atoms and distances in Å follow each position.
Sites, in units of the cell vectors:
Na: 0.6882 0.6882 0.0275  3 Tl 3.08-3.16, 1 Na 3.10, 1 Pm 3.39
Na: 0.3118 0.3118 0.9725  3 Tl 3.08-3.16, 1 Na 3.10, 1 Pm 3.39
Pm: 0.6683 0.6683 0.4163  1 Pm 3.20, 3 Tl 3.26-3.38, 1 Na 3.39
Pm: 0.1991 0.8009 0.5000  4 Tl 3.11-3.29
Pm: 0.8009 0.1991 0.5000  4 Tl 3.11-3.29
Pm: 0.2082 0.7918 0.0000  6 Tl 3.26-3.39, 2 Na 3.62
Pm: 0.7918 0.2082 0.0000  6 Tl 3.26-3.39, 2 Na 3.62
Pm: 0.3317 0.3317 0.5837  1 Pm 3.20, 3 Tl 3.26-3.38, 1 Na 3.39
Tl: 0.0112 0.0112 0.2446  2 Tl 3.10, 1 Na 3.16, 5 Pm 3.26-3.30
Tl: 0.8361 0.5328 0.7428  1 Na 3.08, 1 Tl 3.10, 4 Pm 3.11-3.39
Tl: 0.5328 0.8361 0.7428  1 Na 3.08, 1 Tl 3.10, 4 Pm 3.11-3.39
Tl: 0.1639 0.4672 0.2572  1 Na 3.08, 1 Tl 3.10, 4 Pm 3.11-3.39
Tl: 0.4672 0.1639 0.2572  1 Na 3.08, 1 Tl 3.10, 4 Pm 3.11-3.39
Tl: 0.9888 0.9888 0.7554  2 Tl 3.10, 1 Na 3.16, 5 Pm 3.26-3.30

## Properties
As for the formation energy: -0.18 eV/atom.


6.
Entry from Alexandria via LeMat-Bulk: crystalline HgSbOs2 at its relaxed geometry (PBE-GGA).

a b c (Å): 6.2648 6.2648 6.2648
angles (deg): 152.76 137.02 51.63
Closest atoms and distances in Å follow each position.
Sites, in units of the cell vectors:
Hg: 0.2566 0.7566 0.5000  4 Os 2.73, 2 Hg 2.95
Os: 0.9471 0.9471 0.0000  2 Os 2.60
Os: 0.7574 0.2574 0.5000  2 Os 2.60, 4 Hg 2.73, 2 Sb 2.87
Sb: 0.5389 0.5389 0.0000  6 Os 2.87-2.92, 2 Sb 2.95

## Properties
The offset from the most stable computed form comes out at 0.292 eV/atom.


7.
Entry from Alexandria via LeMat-Bulk: crystalline Ba3OsBr at its relaxed geometry (PBE-GGA).

a b c (Å): 6.0676 6.0676 6.0676
angles (deg): 90.00 90.00 90.00
Closest atoms and distances in Å follow each position.
Sites, in units of the cell vectors:
Os: 0.0000 0.0000 0.0000  6 Ba 3.03
Ba: 0.0000 0.5000 0.0000  2 Os 3.03
Ba: 0.0000 0.0000 0.5000  2 Os 3.03
Ba: 0.5000 0.0000 0.0000  2 Os 3.03
Br: 0.5000 0.5000 0.5000  12 Ba 4.29

## Properties
The offset from the most stable computed form comes out at 0.000 eV/atom.


8.
Entry from Alexandria via LeMat-Bulk: crystalline CdSn2Rh3 at its relaxed geometry (PBE-GGA).

a b c (Å): 3.2922 3.2922 9.5144
angles (deg): 90.00 90.00 90.00
Closest atoms and distances in Å follow each position.
Sites, in units of the cell vectors:
Cd: 0.5000 0.5000 0.5000  8 Rh 2.88, 2 Sn 3.15
Sn: 0.5000 0.5000 0.8307  8 Rh 2.74-2.83
Sn: 0.5000 0.5000 0.1693  8 Rh 2.74-2.83
Rh: 0.0000 0.0000 0.0000  8 Sn 2.83, 2 Rh 3.06
Rh: 0.0000 0.0000 0.6783  4 Sn 2.74, 4 Cd 2.88, 1 Rh 3.06
Rh: 0.0000 0.0000 0.3217  4 Sn 2.74, 4 Cd 2.88, 1 Rh 3.06

## Properties
As for the formation energy: -0.34 eV/atom.